Record 1
Entry from Alexandria: CSeI2 after structural relaxation (GGA-PBEsol).

abc: 7.004 7.004 7.004
angles: 90.00 90.00 90.00
Space group Fm-3m (No. 225)
Inequivalent atoms, fractional coordinates:
C1 0.000 0.000 0.000 [4 per cell]
Se1 0.000 0.000 0.500 [4 per cell]
I1 0.250 0.250 0.250 [8 per cell]

Properties
**Fermi-level density of states**: 0.893 states/eV per atom
**Density**: 6.7 g/cm³
**Energy relative to the elements, uncorrected**: 7.6 eV per formula unit
**VASP energy**: -37.75 eV per cell

Record 2
Entry from Alexandria: CSe2I after structural relaxation (GGA-PBEsol).

abc: 4.3091 4.3091 23.7933
angles: 90.00 90.00 120.00
Space group R-3m (No. 166, hexagonal axes)
Inequivalent atoms, fractional coordinates:
C1 0.0000 0.0000 0.0000 [3 per cell]
Se1 0.0000 0.0000 0.0722 [6 per cell]
I1 0.0000 0.0000 0.5000 [3 per cell]

Properties
**Fermi-level density of states**: 1.014 states/eV per atom
**Density**: 3.9 g/cm³
**Energy relative to the elements, uncorrected**: 2.9 eV per formula unit
**VASP energy**: -48.50 eV per cell

Record 3
Entry from Alexandria: CSe3I after structural relaxation (GGA-PBEsol).

abc: 4.512 4.512 4.512
angles: 90.00 90.00 90.00
Space group Pm-3m (No. 221)
Inequivalent atoms, fractional coordinates:
C1 0.000 0.000 0.000 [1 per cell]
Se1 0.000 0.000 0.500 [3 per cell]
I1 0.500 0.500 0.500 [1 per cell]

Properties
**Fermi-level density of states**: 0.743 states/eV per atom
**Density**: 6.8 g/cm³
**Energy relative to the elements, uncorrected**: 5.4 eV per formula unit
**VASP energy**: -17.60 eV per cell

Record 4
Entry from Alexandria: Te2CSeI after structural relaxation (GGA-PBEsol).

abc: 4.812 4.812 4.785
angles: 90.00 90.00 90.00
Space group P4/mmm (No. 123)
Inequivalent atoms, fractional coordinates:
Te1 0.000 0.500 0.000 [2 per cell]
C1 0.000 0.000 0.000 [1 per cell]
Se1 0.500 0.500 0.500 [1 per cell]
I1 0.000 0.000 0.500 [1 per cell]

Properties
**Fermi-level density of states**: 0.634 states/eV per atom
**Density**: 7.1 g/cm³
**Energy relative to the elements, uncorrected**: 5.4 eV per formula unit
**VASP energy**: -16.95 eV per cell

Record 5
Entry from Alexandria: Si3CI after structural relaxation (GGA-PBEsol).

abc: 4.295 4.295 4.295
angles: 90.00 90.00 90.00
Space group Pm-3m (No. 221)
Inequivalent atoms, fractional coordinates:
Si1 0.000 0.000 0.500 [3 per cell]
C1 0.000 0.000 0.000 [1 per cell]
I1 0.500 0.500 0.500 [1 per cell]

Properties
**Fermi-level density of states**: 0.447 states/eV per atom
**Density**: 4.7 g/cm³
**Energy relative to the elements, uncorrected**: 5.7 eV per formula unit
**VASP energy**: -22.96 eV per cell

Record 6
Entry from Alexandria: SrCI3 after structural relaxation (GGA-PBEsol).

abc: 6.299 6.299 6.299
angles: 90.00 90.00 90.00
Space group Pm-3m (No. 221)
Inequivalent atoms, fractional coordinates:
Sr1 0.000 0.000 0.000 [1 per cell]
C1 0.500 0.500 0.500 [1 per cell]
I1 0.000 0.000 0.500 [3 per cell]

Properties
**Fermi-level density of states**: 2.512 states/eV per atom
**Density**: 3.2 g/cm³
**Energy relative to the elements, uncorrected**: 4.3 eV per formula unit
**VASP energy**: -12.49 eV per cell

Record 7
Entry from Alexandria: ZrTa2CI after structural relaxation (GGA-PBEsol).

abc: 4.269 4.269 4.769
angles: 90.00 90.00 90.00
Space group P4/mmm (No. 123)
Inequivalent atoms, fractional coordinates:
Zr1 0.000 0.000 0.000 [1 per cell]
Ta1 0.000 0.500 0.500 [2 per cell]
C1 0.000 0.000 0.500 [1 per cell]
I1 0.500 0.500 0.000 [1 per cell]

Properties
**Fermi-level density of states**: 1.026 states/eV per atom
**Density**: 11.3 g/cm³
**Energy relative to the elements, uncorrected**: 1.4 eV per formula unit
**VASP energy**: -44.24 eV per cell

Record 8
Entry from Alexandria: TcTeCI2 after structural relaxation (GGA-PBEsol).

abc: 4.816 4.816 4.881
angles: 90.00 90.00 90.00
Space group P4/mmm (No. 123)
Inequivalent atoms, fractional coordinates:
Tc1 0.000 0.000 0.000 [1 per cell]
Te1 0.500 0.500 0.000 [1 per cell]
C1 0.500 0.500 0.500 [1 per cell]
I1 0.000 0.500 0.500 [2 per cell]

Properties
**Fermi-level density of states**: 0.661 states/eV per atom
**Density**: 7.2 g/cm³
**Energy relative to the elements, uncorrected**: 8.5 eV per formula unit
**VASP energy**: -19.49 eV per cell

Record 9
Entry from Alexandria: ZrTcCI2 after structural relaxation (GGA-PBEsol).

abc: 4.775 4.775 4.342
angles: 90.00 90.00 90.00
Space group P4/mmm (No. 123)
Inequivalent atoms, fractional coordinates:
Zr1 0.000 0.000 0.000 [1 per cell]
Tc1 0.500 0.500 0.000 [1 per cell]
C1 0.000 0.000 0.500 [1 per cell]
I1 0.000 0.500 0.500 [2 per cell]

Properties
**Fermi-level density of states**: 0.946 states/eV per atom
**Density**: 7.6 g/cm³
**Energy relative to the elements, uncorrected**: 6.7 eV per formula unit
**VASP energy**: -26.81 eV per cell

Record 10
Entry from Alexandria: Ti2TeCI after structural relaxation (GGA-PBEsol).

abc: 4.982 4.982 5.826
angles: 90.00 90.00 90.00
Space group P4/mmm (No. 123)
Inequivalent atoms, fractional coordinates:
Ti1 0.000 0.500 0.000 [2 per cell]
Te1 0.000 0.000 0.500 [1 per cell]
C1 0.500 0.500 0.500 [1 per cell]
I1 0.000 0.000 0.000 [1 per cell]

Properties
**Fermi-level density of states**: 1.396 states/eV per atom
**Density**: 4.2 g/cm³
**Energy relative to the elements, uncorrected**: 12.3 eV per formula unit
**VASP energy**: -19.29 eV per cell

Record 11
Entry from Alexandria: TiC2I after structural relaxation (GGA-PBEsol).

abc: 5.076 5.076 10.065
angles: 90.00 90.00 90.00
Space group I-42d (No. 122)
Inequivalent atoms, fractional coordinates:
Ti1 0.000 0.000 0.000 [4 per cell]
C1 0.195 0.250 0.125 [8 per cell]
I1 0.000 0.000 0.500 [4 per cell]

Properties
**Fermi-level density of states**: 0.750 states/eV per atom
**Density**: 5.1 g/cm³
**Energy relative to the elements, uncorrected**: 5.6 eV per formula unit
**VASP energy**: -95.05 eV per cell

Record 12
Entry from Alexandria: TiC2I2 after structural relaxation (GGA-PBEsol).

abc: 5.737 5.737 5.861
angles: 90.00 90.00 90.00
Space group I4/mmm (No. 139)
Inequivalent atoms, fractional coordinates:
Ti1 0.000 0.000 0.000 [2 per cell]
C1 0.000 0.000 0.391 [4 per cell]
I1 0.000 0.500 0.250 [4 per cell]

Properties
**Fermi-level density of states**: 0.562 states/eV per atom
**Density**: 5.6 g/cm³
**Energy relative to the elements, uncorrected**: 4.7 eV per formula unit
**VASP energy**: -52.82 eV per cell

Record 13
Entry from Alexandria: TlC3I after structural relaxation (GGA-PBEsol).

abc: 4.265 4.265 4.265
angles: 90.00 90.00 90.00
Space group Pm-3m (No. 221)
Inequivalent atoms, fractional coordinates:
Tl1 0.000 0.000 0.000 [1 per cell]
C1 0.000 0.500 0.500 [3 per cell]
I1 0.500 0.500 0.500 [1 per cell]

Properties
**Fermi-level density of states**: 0.817 states/eV per atom
**Density**: 7.9 g/cm³
**Energy relative to the elements, uncorrected**: 16.0 eV per formula unit
**Polymorph energy (0 for the lowest one)**: 0 meV per atom
**VASP energy**: -17.37 eV per cell

Record 14
Entry from Alexandria: TlC3I after structural relaxation (GGA-PBEsol).

abc: 4.471 4.471 4.471
angles: 90.00 90.00 90.00
Space group Pm-3m (No. 221)
Inequivalent atoms, fractional coordinates:
Tl1 0.000 0.000 0.000 [1 per cell]
C1 0.000 0.000 0.500 [3 per cell]
I1 0.500 0.500 0.500 [1 per cell]

Properties
**Fermi-level density of states**: 0.761 states/eV per atom
**Density**: 6.8 g/cm³
**Energy relative to the elements, uncorrected**: 17.2 eV per formula unit
**Polymorph energy (0 for the lowest one)**: 255 meV per atom
**VASP energy**: -16.09 eV per cell

Record 15
Entry from Alexandria: Y6C2I7 after structural relaxation (GGA-PBEsol).

abc: 21.452 3.864 12.263
angles: 90.00 123.23 90.00
Space group C2/m (No. 12)
Inequivalent atoms, fractional coordinates:
Y1 0.137 0.000 0.058 [4 per cell]
Y2 0.190 0.500 0.869 [4 per cell]
Y3 0.233 0.000 0.674 [4 per cell]
C1 0.221 0.500 0.101 [4 per cell]
I1 0.000 0.500 0.000 [2 per cell]
I2 0.055 0.000 0.771 [4 per cell]
I3 0.107 0.500 0.560 [4 per cell]
I4 0.160 0.000 0.334 [4 per cell]

Properties
**Fermi-level density of states**: 0.301 states/eV per atom
**Density**: 5.6 g/cm³
**Energy relative to the elements, uncorrected**: -17.2 eV per formula unit
**VASP energy**: -179.56 eV per cell

Record 16
Entry from Alexandria: YCI3 after structural relaxation (GGA-PBEsol).

abc: 5.905 5.905 5.905
angles: 90.00 90.00 90.00
Space group Pm-3m (No. 221)
Inequivalent atoms, fractional coordinates:
Y1 0.000 0.000 0.000 [1 per cell]
C1 0.500 0.500 0.500 [1 per cell]
I1 0.000 0.000 0.500 [3 per cell]

Properties
**Fermi-level density of states**: 1.839 states/eV per atom
**Density**: 3.9 g/cm³
**Energy relative to the elements, uncorrected**: 3.1 eV per formula unit
**VASP energy**: -18.66 eV per cell

Record 17
Entry from Alexandria: Y2CI2 after structural relaxation (GGA-PBEsol).

abc: 3.8157 3.8157 10.5367
angles: 90.00 90.00 120.00
Space group P-3m1 (No. 164)
Inequivalent atoms, fractional coordinates:
Y1 0.3333 0.6667 0.3764 [2 per cell]
C1 0.0000 0.0000 0.5000 [1 per cell]
I1 0.3333 0.6667 0.8268 [2 per cell]

Properties
**Fermi-level density of states**: 0.005 states/eV per atom
**Density**: 5.5 g/cm³
**Energy relative to the elements, uncorrected**: -5.1 eV per formula unit
**VASP energy**: -31.96 eV per cell

Record 18
Entry from Alexandria: Zn3CI after structural relaxation (GGA-PBEsol).

abc: 4.354 4.354 4.354
angles: 90.00 90.00 90.00
Space group Pm-3m (No. 221)
Inequivalent atoms, fractional coordinates:
Zn1 0.000 0.000 0.500 [3 per cell]
C1 0.000 0.000 0.000 [1 per cell]
I1 0.500 0.500 0.500 [1 per cell]

Properties
**Fermi-level density of states**: 0.318 states/eV per atom
**Density**: 6.7 g/cm³
**Energy relative to the elements, uncorrected**: 2.7 eV per formula unit
**VASP energy**: -13.45 eV per cell

Record 19
Entry from Alexandria: In2C after structural relaxation (GGA-PBEsol).

abc: 5.637 5.637 3.568
angles: 90.00 90.00 90.00
Space group P4_2/mnm (No. 136)
Inequivalent atoms, fractional coordinates:
In1 0.202 0.202 0.000 [4 per cell]
C1 0.000 0.000 0.500 [2 per cell]

Properties
**Fermi-level density of states**: 0.511 states/eV per atom
**Density**: 7.1 g/cm³
**DFT formation energy**: 1.07 eV per atom
**VASP energy**: -24.82 eV per cell

Record 20
Entry from Alexandria: InC2 after structural relaxation (GGA-PBEsol).

abc: 6.9699 6.9699 5.3811
angles: 90.00 90.00 120.00
Space group P6/mmm (No. 191)
Inequivalent atoms, fractional coordinates:
In1 0.0000 0.0000 0.0000 [1 per cell]
In2 0.3333 0.6667 0.5000 [2 per cell]
C1 0.0000 0.1987 0.5000 [6 per cell]

Properties
**Fermi-level density of states**: 0.155 states/eV per atom
**Density**: 3.1 g/cm³
**Polymorph energy (0 for the lowest one)**: 0 meV per atom
**DFT formation energy**: 1.42 eV per atom
**VASP energy**: -53.99 eV per cell

Record 21
Entry from Alexandria: In2C after structural relaxation (GGA-PBEsol).

abc: 6.079 6.079 6.079
angles: 90.00 90.00 90.00
Space group Fm-3m (No. 225)
Inequivalent atoms, fractional coordinates:
In1 0.250 0.250 0.250 [8 per cell]
C1 0.000 0.000 0.000 [4 per cell]

Properties
**Fermi-level density of states**: 0.385 states/eV per atom
**Density**: 7.1 g/cm³
**DFT formation energy**: 1.24 eV per atom
**VASP energy**: -47.55 eV per cell

Record 22
Entry from Alexandria: In2C after structural relaxation (GGA-PBEsol).

abc: 3.339 3.339 4.822
angles: 90.00 90.00 90.00
Space group P4/mmm (No. 123)
Inequivalent atoms, fractional coordinates:
In1 0.000 0.000 0.000 [1 per cell]
In2 0.500 0.500 0.500 [1 per cell]
C1 0.000 0.000 0.500 [1 per cell]

Properties
**Fermi-level density of states**: 0.378 states/eV per atom
**Density**: 7.5 g/cm³
**DFT formation energy**: 1.02 eV per atom
**VASP energy**: -12.55 eV per cell

Record 23
Entry from Alexandria: In2C after structural relaxation (GGA-PBEsol).

abc: 5.980 11.473 3.359
angles: 90.00 90.00 90.00
Space group Cmmm (No. 65)
Inequivalent atoms, fractional coordinates:
In1 0.000 0.000 0.000 [2 per cell]
In2 0.000 0.228 0.500 [4 per cell]
In3 0.000 0.500 0.500 [2 per cell]
C1 0.000 0.364 0.000 [4 per cell]

Properties
**Fermi-level density of states**: 0.599 states/eV per atom
**Density**: 7.0 g/cm³
**DFT formation energy**: 1.24 eV per atom
**VASP energy**: -47.61 eV per cell

Record 24
Entry from Alexandria: In3C4 after structural relaxation (GGA-PBEsol).

abc: 4.669 4.669 4.669
angles: 90.00 90.00 90.00
Space group Pm-3m (No. 221)
Inequivalent atoms, fractional coordinates:
In1 0.000 0.000 0.500 [3 per cell]
C1 0.000 0.000 0.000 [1 per cell]
C2 0.000 0.500 0.500 [3 per cell]

Properties
**Fermi-level density of states**: 0.461 states/eV per atom
**Density**: 6.4 g/cm³
**DFT formation energy**: 2.18 eV per atom
**VASP energy**: -32.25 eV per cell

Record 25
Entry from Alexandria: InC2 after structural relaxation (GGA-PBEsol).

abc: 6.574 6.574 6.574
angles: 90.00 90.00 90.00
Space group Fd-3m (No. 227, origin choice 2)
Inequivalent atoms, fractional coordinates:
In1 0.125 0.125 0.125 [8 per cell]
C1 0.000 0.000 0.500 [16 per cell]

Properties
**Fermi-level density of states**: 0.599 states/eV per atom
**Density**: 6.5 g/cm³
**Polymorph energy (0 for the lowest one)**: 1591 meV per atom
**DFT formation energy**: 3.02 eV per atom
**VASP energy**: -105.79 eV per cell

Record 26
Entry from Alexandria: In5C after structural relaxation (GGA-PBEsol).

abc: 8.428 8.428 8.428
angles: 90.00 90.00 90.00
Space group F-43m (No. 216)
Inequivalent atoms, fractional coordinates:
In1 0.000 0.000 0.000 [4 per cell]
In2 0.125 0.125 0.375 [16 per cell]
C1 0.250 0.250 0.750 [4 per cell]

Properties
**Fermi-level density of states**: 0.593 states/eV per atom
**Density**: 6.5 g/cm³
**DFT formation energy**: 1.17 eV per atom
**VASP energy**: -70.07 eV per cell

Record 27
Entry from Alexandria: InC2 after structural relaxation (GGA-PBEsol).

abc: 2.977 2.977 8.978
angles: 90.00 90.00 90.00
Space group P4/nmm (No. 129, origin choice 2)
Inequivalent atoms, fractional coordinates:
In1 0.250 0.250 0.158 [2 per cell]
C1 0.250 0.250 0.423 [2 per cell]
C2 0.250 0.750 0.500 [2 per cell]

Properties
**Fermi-level density of states**: 0.318 states/eV per atom
**Density**: 5.8 g/cm³
**Polymorph energy (0 for the lowest one)**: 45 meV per atom
**DFT formation energy**: 1.47 eV per atom
**VASP energy**: -35.72 eV per cell

Record 28
Entry from Alexandria: InC after structural relaxation (GGA-PBEsol).

abc: 4.699 4.699 4.579
angles: 90.00 90.00 90.00
Space group P4/mmm (No. 123)
Inequivalent atoms, fractional coordinates:
In1 0.000 0.000 0.000 [1 per cell]
In2 0.000 0.500 0.500 [2 per cell]
C1 0.000 0.000 0.500 [1 per cell]
C2 0.000 0.500 0.000 [2 per cell]

Properties
**Fermi-level density of states**: 0.578 states/eV per atom
**Density**: 6.2 g/cm³
**Polymorph energy (0 for the lowest one)**: 155 meV per atom
**DFT formation energy**: 1.87 eV per atom
**VASP energy**: -26.67 eV per cell